(1)
Material: YTl3Mo
Method: DFT, PBE
State: optimized geometry

abc: 5.3145 5.3145 5.3145
angles: 90.00 90.00 90.00
Last column: nearest neighbours and their distance in Å.
Fractional positions:
Tl1 0.0000 0.0000 0.5000  2 Mo 2.66
Tl2 0.0000 0.5000 0.0000  2 Mo 2.66
Tl3 0.5000 0.0000 0.0000  2 Mo 2.66
Y1 0.5000 0.5000 0.5000  12 Tl 3.76
Mo1 0.0000 0.0000 0.0000  6 Tl 2.66

* calculated total energy: -21.437 eV for the cell shown
* E_form: 285 kJ/mol of formula units
* E above lowest polymorph: 0 meV per atom

---

(2)
Material: Ba2CoBi2
Method: DFT, PBE
State: optimized geometry

abc: 7.8579 7.8579 5.4823
angles: 90.00 90.00 90.00
Last column: nearest neighbours and their distance in Å.
Fractional positions:
Ba1 0.3302 0.1698 0.5000  6 Bi 3.42-3.70, 1 Ba 3.77
Bi1 0.3544 0.8544 0.0000  2 Co 3.01, 1 Bi 3.24
Bi2 0.1456 0.3544 0.0000  2 Co 3.01, 1 Bi 3.24
Ba2 0.1698 0.6698 0.5000  6 Bi 3.42-3.70, 1 Ba 3.77
Ba3 0.6698 0.8302 0.5000  6 Bi 3.42-3.70, 1 Ba 3.77
Bi3 0.8544 0.6456 0.0000  2 Co 3.01, 1 Bi 3.24
Ba4 0.8302 0.3302 0.5000  6 Bi 3.42-3.70, 1 Ba 3.77
Co1 0.0000 0.0000 0.0000  4 Bi 3.01
Bi4 0.6456 0.1456 0.0000  2 Co 3.01, 1 Bi 3.24
Co2 0.5000 0.5000 0.0000  4 Bi 3.01

* calculated total energy: -39.459 eV for the cell shown
* E_form: -98 kJ/mol of formula units